[1]
First-principles (PBE) data for a geometry-optimized Mg3Sb structure, as listed in Alexandria via LeMat-Bulk.

Unit cell a=3.9339 b=3.9339 c=6.1152 alpha=90.00 beta=90.00 gamma=90.00
Closest atoms and distances in Å follow each position.
Positions (direct):
Sb (0.5000, 0.5000, 0.7500)  10 Mg 3.06-3.16
Mg (0.0000, 0.0000, 0.9963)  6 Mg 3.01-3.19, 4 Sb 3.16
Mg (0.0000, 0.0000, 0.5037)  6 Mg 3.01-3.19, 4 Sb 3.16
Mg (0.5000, 0.5000, 0.2500)  2 Sb 3.06, 8 Mg 3.19

spin magnetization	0.000	μB/f.u.
symmetry	P4/mmm, No. 123
E_form (uncorrected)	-99.9	meV/atom
polymorph energy (0 for the lowest one)	73	meV per atom


[2]
First-principles (PBE) data for a geometry-optimized Ta2RuSe structure, as listed in Alexandria via LeMat-Bulk.

Unit cell a=4.6622 b=4.6622 c=3.1179 alpha=90.00 beta=90.00 gamma=101.65
Closest atoms and distances in Å follow each position.
Positions (direct):
Ru (0.5000, 0.0000, 0.5000)  8 Ta 2.80, 2 Se 2.94, 2 Ru 3.12
Ta (0.0000, 0.0000, 0.0000)  4 Se 2.80, 4 Ru 2.80, 4 Ta 2.94-3.12
Ta (0.5000, 0.5000, 0.0000)  4 Ru 2.80, 4 Se 2.80, 4 Ta 2.94-3.12
Se (0.0000, 0.5000, 0.5000)  8 Ta 2.80, 2 Ru 2.94, 2 Se 3.12

spin magnetization	0.000	μB/f.u.
symmetry	Cmmm, No. 65
E_form (uncorrected)	-24.3	meV/atom


[3]
First-principles (PBE) data for a geometry-optimized Zr2MnMoRh structure, as listed in Alexandria via LeMat-Bulk.

Unit cell a=4.9952 b=4.9952 c=4.3691 alpha=90.00 beta=90.00 gamma=90.00
Closest atoms and distances in Å follow each position.
Positions (direct):
Zr (0.0000, 0.5000, 0.0000)  2 Mo 2.50
Zr (0.5000, 0.0000, 0.0000)  2 Mo 2.50
Mn (0.0000, 0.0000, 0.5000)  2 Mo 2.18
Rh (0.5000, 0.5000, 0.5000)  8 Zr 3.32, 4 Mn 3.53
Mo (0.0000, 0.0000, 0.0000)  2 Mn 2.18

spin magnetization	2.297	μB/f.u.
symmetry	P4/mmm, No. 123
DFT formation energy	90.5	kJ per mole of atoms


[4]
First-principles (PBE) data for a geometry-optimized PaMoOs structure, as listed in Alexandria via LeMat-Bulk.

Unit cell a=2.9352 b=4.5835 c=4.5835 alpha=120.00 beta=90.00 gamma=90.00
Closest atoms and distances in Å follow each position.
Positions (direct):
Pa (0.0255, 0.0000, 0.0000)  3 Mo 2.73, 3 Os 2.79, 2 Pa 2.94
Mo (0.2493, 0.3333, 0.6667)  3 Pa 2.73, 2 Mo 2.94, 3 Os 2.99
Os (0.7252, 0.6667, 0.3333)  3 Pa 2.79, 2 Os 2.94, 6 Mo 2.99-3.06

spin magnetization	0.000	μB/f.u.
symmetry	P3m1, No. 156
polymorph energy (0 for the lowest one)	197	meV per atom
DFT formation energy	18.7	kJ per mole of atoms


[5]
First-principles (PBE) data for a geometry-optimized HoThScIn structure, as listed in Alexandria via LeMat-Bulk.

Unit cell a=5.3879 b=5.3879 c=5.3879 alpha=60.00 beta=60.00 gamma=60.00
Closest atoms and distances in Å follow each position.
Positions (direct):
Th (0.0000, 0.0000, 0.0000)  4 In 3.30, 4 Sc 3.30
Sc (0.2500, 0.2500, 0.2500)  4 Ho 3.30, 4 Th 3.30
In (0.7500, 0.7500, 0.7500)  4 Ho 3.30, 4 Th 3.30
Ho (0.5000, 0.5000, 0.5000)  4 In 3.30, 4 Sc 3.30

spin magnetization	0.002	μB/f.u.
symmetry	F-43m, No. 216
DFT formation energy	-8.3	kJ per mole of atoms


[6]
First-principles (PBE) data for a geometry-optimized PmNiBiH structure, as listed in Alexandria via LeMat-Bulk.

Unit cell a=4.6650 b=4.6650 c=4.6650 alpha=60.00 beta=60.00 gamma=60.00
Closest atoms and distances in Å follow each position.
Positions (direct):
Bi (0.0000, 0.0000, 0.0000)  4 Ni 2.86, 4 H 2.86
Ni (0.2500, 0.2500, 0.2500)  4 Pm 2.86, 4 Bi 2.86
Pm (0.5000, 0.5000, 0.5000)  4 Ni 2.86, 4 H 2.86
H (0.7500, 0.7500, 0.7500)  4 Bi 2.86, 4 Pm 2.86

spin magnetization	0.000	μB/f.u.
symmetry	F-43m, No. 216


[7]
First-principles (PBE) data for a geometry-optimized Nb3MoCl9 structure, as listed in Alexandria via LeMat-Bulk.

Unit cell a=9.1171 b=8.8145 c=15.6987 alpha=57.83 beta=73.12 gamma=58.86
Closest atoms and distances in Å follow each position.
Positions (direct):
Cl (0.1342, 0.1354, 0.1234)  2 Nb 2.49-2.52
Cl (0.0895, 0.5226, 0.2254)  2 Nb 2.47-2.58
Cl (0.9889, 0.6773, 0.5842)  1 Mo 2.42, 1 Nb 2.58
Cl (0.9281, 0.3180, 0.8270)  2 Nb 2.48-2.55
Cl (0.6521, 0.8084, 0.1246)  1 Mo 2.37, 1 Nb 2.57
Cl (0.3080, 0.1883, 0.4650)  1 Mo 2.42, 1 Nb 2.56
Cl (0.8622, 0.3133, 0.5316)  2 Nb 2.45-2.54
Cl (0.5722, 0.2346, 0.8530)  2 Nb 2.48-2.56
Cl (0.8031, 0.9135, 0.7565)  2 Nb 2.49-2.50
Cl (0.9269, 0.8180, 0.3270)  2 Nb 2.48-2.55
Cl (0.7497, 0.1772, 0.0842)  1 Mo 2.42, 1 Nb 2.58
Cl (0.1624, 0.0226, 0.7254)  2 Nb 2.47-2.58
Cl (0.3402, 0.7346, 0.3530)  2 Nb 2.48-2.56
Cl (0.0387, 0.6883, 0.9650)  1 Mo 2.42, 1 Nb 2.56
Cl (0.6069, 0.6354, 0.6234)  2 Nb 2.49-2.52
Cl (0.5269, 0.4134, 0.2565)  2 Nb 2.49-2.50
Cl (0.4150, 0.3084, 0.6246)  1 Mo 2.37, 1 Nb 2.57
Cl (0.2929, 0.8133, 0.0316)  2 Nb 2.45-2.54
Nb (0.6687, 0.2862, 0.6788)  5 Cl 2.45-2.57, 2 Nb 2.67-2.68
Nb (0.2306, 0.5488, 0.3262)  5 Cl 2.47-2.56, 1 Nb 2.67, 1 Mo 2.73
Nb (0.9184, 0.3827, 0.6539)  5 Cl 2.48-2.58, 1 Nb 2.68, 1 Mo 2.72
Nb (0.3663, 0.7862, 0.1788)  5 Cl 2.45-2.57, 2 Nb 2.67-2.68
Nb (0.0450, 0.8827, 0.1539)  5 Cl 2.48-2.58, 1 Nb 2.68, 1 Mo 2.72
Nb (0.8944, 0.0488, 0.8262)  5 Cl 2.47-2.56, 1 Nb 2.67, 1 Mo 2.73
Mo (0.8571, 0.9285, 0.0282)  3 Cl 2.37-2.42
Mo (0.1862, 0.4285, 0.5282)  3 Cl 2.37-2.42

spin magnetization	1.949	μB/f.u.
symmetry	Cc, No. 9
E_form (uncorrected)	-862.0	meV/atom


[8]
First-principles (PBE) data for a geometry-optimized Mg6NbCO8 structure, as listed in Alexandria via LeMat-Bulk.

Unit cell a=4.2066 b=4.2066 c=9.2736 alpha=90.00 beta=90.00 gamma=90.00
Closest atoms and distances in Å follow each position.
Positions (direct):
O (0.0000, 0.5000, 0.5000)  6 Mg 2.10-2.22
O (0.5000, 0.0000, 0.5000)  6 Mg 2.10-2.22
O (0.5000, 0.0000, 0.0000)  2 C 2.10, 2 Nb 2.10
O (0.0000, 0.5000, 0.0000)  2 Nb 2.10, 2 C 2.10
O (0.5000, 0.5000, 0.7177)  5 Mg 2.02-2.11
O (0.0000, 0.0000, 0.7566)  4 Mg 2.11, 1 Nb 2.26
O (0.0000, 0.0000, 0.2434)  4 Mg 2.11, 1 Nb 2.26
O (0.5000, 0.5000, 0.2823)  5 Mg 2.02-2.11
Nb (0.0000, 0.0000, 0.0000)  6 O 2.10-2.26
Mg (0.0000, 0.0000, 0.5000)  4 O 2.10
Mg (0.0000, 0.5000, 0.2606)  5 O 2.11-2.22
Mg (0.5000, 0.0000, 0.7394)  5 O 2.11-2.22
Mg (0.0000, 0.5000, 0.7394)  5 O 2.11-2.22
Mg (0.5000, 0.0000, 0.2606)  5 O 2.11-2.22
Mg (0.5000, 0.5000, 0.5000)  6 O 2.02-2.10
C (0.5000, 0.5000, 0.0000)  4 O 2.10

spin magnetization	2.839	μB/f.u.
symmetry	P4/mmm, No. 123
E_form (uncorrected)	-1872.7	meV/atom
polymorph energy (0 for the lowest one)	0	meV per atom


[9]
First-principles (PBE) data for a geometry-optimized ReBi2Mo structure, as listed in Alexandria via LeMat-Bulk.

Unit cell a=4.8241 b=4.8241 c=4.8241 alpha=60.00 beta=60.00 gamma=60.00
Closest atoms and distances in Å follow each position.
Positions (direct):
Bi (0.7500, 0.7500, 0.7500)  4 Re 2.95, 4 Mo 2.95
Bi (0.2500, 0.2500, 0.2500)  4 Mo 2.95, 4 Re 2.95
Mo (0.0000, 0.0000, 0.0000)  8 Bi 2.95
Re (0.5000, 0.5000, 0.5000)  8 Bi 2.95

spin magnetization	0.000	μB/f.u.
symmetry	Fm-3m, No. 225
polymorph energy (0 for the lowest one)	0	meV per atom
DFT formation energy	91.5	kJ per mole of atoms


[10]
First-principles (PBE) data for a geometry-optimized TcHg structure, as listed in Alexandria via LeMat-Bulk.

Unit cell a=3.4773 b=3.4773 c=6.8866 alpha=90.00 beta=90.00 gamma=90.00
Closest atoms and distances in Å follow each position.
Positions (direct):
Hg (0.2500, 0.2500, 0.3559)  4 Tc 3.00, 4 Hg 3.16
Hg (0.7500, 0.7500, 0.6441)  4 Tc 3.00, 4 Hg 3.16
Tc (0.2500, 0.7500, 0.0000)  4 Tc 2.46
Tc (0.7500, 0.2500, 0.0000)  4 Tc 2.46

spin magnetization	0.000	μB/f.u.
symmetry	P4/nmm, No. 129
polymorph energy (0 for the lowest one)	478	meV per atom
DFT formation energy	69.6	kJ per mole of atoms


[11]
First-principles (PBE) data for a geometry-optimized Y3HgN structure, as listed in Alexandria via LeMat-Bulk.

Unit cell a=6.7773 b=4.8577 c=6.7772 alpha=90.00 beta=90.00 gamma=90.00
Closest atoms and distances in Å follow each position.
Positions (direct):
Y (0.3459, 0.4100, 0.9611)  2 N 2.41
Y (0.9077, 0.4099, 0.5230)  2 N 2.41
Y (0.8459, 0.4101, 0.0229)  2 N 2.41
Y (0.1267, 0.9100, 0.2421)  2 N 2.43
Y (0.4077, 0.4099, 0.4611)  2 N 2.41
Y (0.6267, 0.9100, 0.7420)  2 N 2.43
N (0.1267, 0.4100, 0.2421)  6 Y 2.41-2.43
N (0.6267, 0.4100, 0.7420)  6 Y 2.41-2.43
Hg (0.6267, 0.9098, 0.2419)  8 Y 3.21-3.39
Hg (0.1267, 0.9100, 0.7420)  8 Y 3.21-3.39

spin magnetization	0.000	μB/f.u.
symmetry	P4/mbm, No. 127
E_form (uncorrected)	-943.0	meV/atom


[12]
First-principles (PBE) data for a geometry-optimized Ac3Pm2Tm structure, as listed in Alexandria via LeMat-Bulk.

Unit cell a=6.6304 b=6.6305 c=12.1913 alpha=90.00 beta=90.00 gamma=120.00
Closest atoms and distances in Å follow each position.
Positions (direct):
Pm (0.3333, 0.6667, 0.4999)  6 Ac 3.77, 3 Tm 3.83, 3 Pm 3.83
Pm (0.6667, 0.3333, 0.0000)  6 Ac 3.77, 3 Tm 3.83, 3 Pm 3.83
Pm (0.6667, 0.3333, 0.5001)  6 Ac 3.77, 3 Tm 3.83, 3 Pm 3.83
Pm (0.3333, 0.6667, 0.0000)  6 Ac 3.77, 3 Tm 3.83, 3 Pm 3.83
Ac (0.6687, 0.6687, 0.7500)  2 Tm 3.76, 4 Pm 3.77, 6 Ac 3.80-3.84
Ac (0.0000, 0.6686, 0.2500)  2 Tm 3.76, 4 Pm 3.77, 6 Ac 3.81-3.84
Ac (0.6687, 0.0000, 0.2500)  2 Tm 3.76, 4 Pm 3.77, 6 Ac 3.80-3.84
Ac (0.3313, 0.3313, 0.2500)  2 Tm 3.76, 4 Pm 3.77, 6 Ac 3.80-3.84
Ac (0.3313, 0.0000, 0.7500)  2 Tm 3.76, 4 Pm 3.77, 6 Ac 3.80-3.84
Ac (0.0000, 0.3314, 0.7500)  2 Tm 3.76, 4 Pm 3.77, 6 Ac 3.81-3.84
Tm (0.0000, 0.0000, 0.0000)  6 Ac 3.76, 6 Pm 3.83
Tm (0.0000, 0.0000, 0.5000)  6 Ac 3.76, 6 Pm 3.83

spin magnetization	0.000	μB/f.u.
symmetry	P6_3/mcm, No. 193
DFT formation energy	6.6	kJ per mole of atoms


Number 1: N(E_F) 2.1 states/eV/cell, raw total energy -9.31 eV per cell. Number 2: N(E_F) 4.0 states/eV/cell, raw total energy -36.56 eV per cell. Number 3: N(E_F) 5.8 states/eV/cell, raw total energy -39.76 eV per cell. Number 4: N(E_F) 4.0 states/eV/cell, raw total energy -30.98 eV per cell. Number 5: N(E_F) 7.3 states/eV/cell, raw total energy -21.41 eV per cell. Number 6: N(E_F) 2.3 states/eV/cell, raw total energy -18.58 eV per cell. Number 7: N(E_F) 3.5 states/eV/cell, raw total energy -137.73 eV per cell. Number 8: N(E_F) 2.2 states/eV/cell, raw total energy -98.49 eV per cell. Number 9: N(E_F) 4.6 states/eV/cell, raw total energy -27.25 eV per cell. Number 10: N(E_F) 3.9 states/eV/cell, raw total energy -18.45 eV per cell. Number 11: N(E_F) 3.3 states/eV/cell, raw total energy -65.47 eV per cell. Number 12: N(E_F) 14.1 states/eV/cell, raw total energy -51.78 eV per cell.